DFT (PBE) results for KGa3Tc after structural relaxation.

The structure belongs to space group Cmcm (No. 63); the cell edges are 6.636, 12.543 and 4.862 Å and the angles 90.00°, 90.00° and 90.00°. Symmetry generates all atoms from K at (0.000, 0.076, 0.250), Ga at (0.000, 0.500, 0.000), Ga at (0.203, 0.309, 0.250) and Tc at (0.000, 0.319, 0.750).

For the energy above the lowest structure with this stoichiometry, the calculation gives 0.164 eV/atom. Its formation energy is -0.0130 eV/atom.

DFT (PBE) results for Zn4BrCl after structural relaxation.

The structure belongs to space group F-43m (No. 216); the cell edges are 7.819, 7.819 and 7.819 Å and the angles 90.00°, 90.00° and 90.00°. Symmetry generates all atoms from Zn at (0.125, 0.125, 0.125), Br at (0.250, 0.250, 0.750) and Cl at (0.000, 0.000, 0.500).

The calculation puts the formation energy (no corrections) at 0.053 eV/atom.

DFT (PBE) results for SnRuF2 after structural relaxation.

The structure belongs to space group I-42d (No. 122); the cell edges are 6.958, 6.958 and 5.208 Å and the angles 90.00°, 90.00° and 90.00°. Symmetry generates all atoms from Sn at (0.000, 0.000, 0.000), Ru at (0.000, 0.000, 0.500) and F at (0.170, 0.250, 0.625).

The calculation puts the formation energy (no corrections) at -0.651 eV/atom. For the energy above the lowest structure with this stoichiometry, the calculation gives 0.190 eV/atom.

Per-record total magnetization, μB/cell: 0.00, 0.00, 0.00